(1)
First-principles (GGA-PBE) data for a relaxed Nd4CoI2Cl crystal, as listed in Alexandria via LeMat-Bulk.

```
8
Lattice="7.4814 0.0000 0.0000 0.0000 4.0878 0.0000 -2.4283 0.0000 7.8765" Properties=species:S:1:pos:R:3 pbc="T T T"
Nd 1.0292 0.0000 1.4872
Nd -0.1226 2.0439 6.3827
Nd 5.1757 2.0439 1.4938
Nd 4.0239 0.0000 6.3893
Co 0.0000 2.0439 0.0000
I -1.2142 0.0000 3.9382
I 2.5265 2.0439 3.9382
Cl 3.7407 0.0000 0.0000
```

Results
Its symmetry is P2/m (10). The calculation puts the total energy at -4.7552 eV/atom. The spin magnetization comes out at 0.00 μB per cell.


(2)
First-principles (GGA-PBE) data for a relaxed Nd3CoICl crystal, as listed in Alexandria via LeMat-Bulk.

```
12
Lattice="9.6316 0.0000 0.0000 0.0000 4.0339 0.0000 -0.6406 0.0000 9.7800" Properties=species:S:1:pos:R:3 pbc="T T T"
Nd 0.5368 1.0085 3.4899
Nd 0.8140 1.0085 8.9396
Nd 2.6303 3.0254 6.2865
Nd 6.3608 1.0085 3.4935
Nd 8.1770 3.0254 0.8404
Nd 8.4543 3.0254 6.2900
Co 0.7682 1.0085 6.3101
Co 8.2229 3.0254 3.4699
I 3.5096 3.0254 3.1623
I 5.4815 1.0085 6.6177
Cl 2.8584 3.0254 9.1117
Cl 6.1327 1.0085 0.6683
```

Results
Its symmetry is P2_1/m (11). The calculation puts the total energy at -4.9684 eV/atom. The spin magnetization comes out at 0.77 μB per cell.